1.
{"formula": "BiSbOF2", "functional": "meta-GGA SCAN", "state": "single point on PBEsol structure", "raw_formation_energy_ev_per_atom": -0.90, "volume_a3_per_atom": 18.8, "lattice_angstrom": [[4.487, 0.000, 0.000], [0.000, 4.487, 0.000], [0.000, 0.000, 4.663]], "species": ["F", "F", "Sb", "Bi", "O"], "fractional_positions": [[0.500, 0.000, 0.000], [0.000, 0.500, 0.000], [0.500, 0.500, 0.500], [0.000, 0.000, 0.000], [0.000, 0.000, 0.500]]}

=====

2.
{"formula": "BeZnSe2", "functional": "meta-GGA SCAN", "state": "single point on PBEsol structure", "raw_formation_energy_ev_per_atom": -0.86, "volume_a3_per_atom": 19.4, "lattice_angstrom": [[5.402, 0.000, 0.000], [0.000, 5.402, 0.000], [-2.701, -2.701, 5.325]], "species": ["Se", "Se", "Se", "Se", "Be", "Be", "Zn", "Zn"], "fractional_positions": [[0.125, 0.157, 0.750], [0.843, 0.375, 0.250], [0.625, 0.593, 0.750], [0.407, 0.875, 0.250], [0.500, 0.500, 0.000], [0.750, 0.250, 0.500], [0.250, 0.750, 0.500], [0.000, 0.000, 0.000]]}

=====

3.
{"formula": "MnCrPb2", "functional": "meta-GGA SCAN", "state": "single point on PBEsol structure", "ef_ev_per_atom": 0.251, "volume_a3_per_atom": 20.2, "lattice_angstrom": [[-3.169, 1.893, -1.665], [-0.227, -2.879, -2.840], [-1.360, -2.100, 5.125]], "species": ["Pb", "Pb", "Cr", "Mn"], "fractional_positions": [[0.750, 0.250, 0.500], [0.000, 0.000, 0.000], [0.500, 0.500, 0.000], [0.250, 0.750, 0.500]]}

=====

4.
{"formula": "MgTcRu2", "functional": "meta-GGA SCAN", "state": "single point on PBEsol structure", "ef_ev_per_atom": 0.286, "volume_a3_per_atom": 14.1, "lattice_angstrom": [[-1.647, -3.696, 1.463], [1.149, -1.483, 3.872], [-2.826, 0.039, 3.244]], "species": ["Mg", "Ru", "Ru", "Tc"], "fractional_positions": [[0.500, 0.500, 0.500], [0.750, 0.750, 0.750], [0.000, 0.000, 0.000], [0.250, 0.250, 0.250]]}

=====

5.
{"formula": "CrHg2Cl", "functional": "meta-GGA SCAN", "state": "single point on PBEsol structure", "raw_formation_energy_ev_per_atom": -0.22, "volume_a3_per_atom": 21.2, "lattice_angstrom": [[3.175, 0.000, 0.000], [0.000, 5.527, 0.000], [-1.587, -2.763, 4.841]], "species": ["Cr", "Hg", "Hg", "Cl"], "fractional_positions": [[0.234, 0.734, 0.469], [0.745, 0.245, 0.489], [0.970, 0.970, 0.940], [0.551, 0.551, 0.102]]}

=====

6.
{"formula": "CaHgIN2", "functional": "meta-GGA SCAN", "state": "single point on PBEsol structure", "raw_formation_energy_ev_per_atom": 1.30, "volume_a3_per_atom": 20.1, "lattice_angstrom": [[-1.918, -3.517, 1.513], [2.493, 0.137, 3.479], [-3.714, 3.118, 2.539]], "species": ["I", "Hg", "Ca", "N", "N"], "fractional_positions": [[0.000, 0.000, 0.000], [0.000, 0.000, 0.500], [0.500, 0.500, 0.500], [0.500, 0.000, 0.000], [0.000, 0.500, 0.000]]}

=====

7.
{"formula": "Pr2Co2I", "functional": "meta-GGA SCAN", "state": "single point on PBEsol structure", "raw_formation_energy_ev_per_atom": -0.52, "volume_a3_per_atom": 23.5, "lattice_angstrom": [[-2.266, 3.071, -0.935], [-1.565, -3.597, 0.234], [-3.470, 2.614, 16.994]], "species": ["Pr", "Pr", "Pr", "Pr", "I", "I", "Co", "Co", "Co", "Co"], "fractional_positions": [[0.000, 0.000, 0.893], [0.000, 0.000, 0.393], [0.000, 0.000, 0.607], [0.000, 0.000, 0.107], [0.333, 0.667, 0.750], [0.667, 0.333, 0.250], [0.333, 0.667, 0.000], [0.667, 0.333, 0.500], [0.667, 0.333, 0.000], [0.333, 0.667, 0.500]]}

=====

8.
{"formula": "Y2ReB6", "functional": "meta-GGA SCAN", "state": "single point on PBEsol structure", "ef_ev_per_atom": -0.687, "volume_a3_per_atom": 10.6, "lattice_angstrom": [[-2.310, 0.098, 2.810], [-6.731, -2.937, -5.432], [2.670, -10.885, 2.576]], "species": ["Re", "Re", "Re", "Re", "B", "B", "B", "B", "B", "B", "B", "B", "B", "B", "B", "B", "B", "B", "B", "B", "B", "B", "B", "B", "B", "B", "B", "B", "Y", "Y", "Y", "Y", "Y", "Y", "Y", "Y"], "fractional_positions": [[0.000, 0.362, 0.679], [0.000, 0.138, 0.179], [0.000, 0.638, 0.321], [0.000, 0.862, 0.821], [0.500, 0.292, 0.235], [0.500, 0.370, 0.814], [0.500, 0.947, 0.933], [0.500, 0.018, 0.788], [0.500, 0.708, 0.765], [0.500, 0.982, 0.212], [0.500, 0.100, 0.472], [0.500, 0.208, 0.735], [0.500, 0.053, 0.067], [0.500, 0.249, 0.081], [0.500, 0.749, 0.419], [0.500, 0.792, 0.265], [0.500, 0.400, 0.972], [0.500, 0.630, 0.186], [0.500, 0.751, 0.919], [0.500, 0.870, 0.686], [0.500, 0.130, 0.314], [0.500, 0.553, 0.433], [0.500, 0.518, 0.712], [0.500, 0.482, 0.288], [0.500, 0.600, 0.028], [0.500, 0.251, 0.581], [0.500, 0.447, 0.567], [0.500, 0.900, 0.528], [0.000, 0.443, 0.130], [0.000, 0.057, 0.630], [0.000, 0.943, 0.370], [0.000, 0.823, 0.086], [0.000, 0.177, 0.914], [0.000, 0.323, 0.414], [0.000, 0.677, 0.586], [0.000, 0.557, 0.870]]}

=====

9.
{"formula": "ReTcSb2", "functional": "meta-GGA SCAN", "state": "single point on PBEsol structure", "raw_formation_energy_ev_per_atom": 0.52, "volume_a3_per_atom": 17.5, "lattice_angstrom": [[3.128, 0.000, 0.000], [-1.564, 4.226, 0.007], [0.000, -1.186, 5.305]], "species": ["Tc", "Sb", "Sb", "Re"], "fractional_positions": [[0.500, 0.000, 0.000], [0.250, 0.499, 0.249], [0.750, 0.501, 0.751], [0.000, 0.000, 0.500]]}

=====

10.
{"formula": "LaOsI2", "functional": "meta-GGA SCAN", "state": "single point on PBEsol structure", "raw_formation_energy_ev_per_atom": 0.39, "volume_a3_per_atom": 25.3, "lattice_angstrom": [[-4.936, 1.731, -0.005], [-3.966, -3.407, -0.143], [-3.015, -0.682, 4.220]], "species": ["I", "I", "La", "Os"], "fractional_positions": [[0.750, 0.750, 0.750], [0.250, 0.250, 0.250], [0.000, 0.000, 0.000], [0.500, 0.500, 0.500]]}

=====

11.
{"formula": "BaNa2Pb2", "functional": "meta-GGA SCAN", "state": "single point on PBEsol structure", "ef_ev_per_atom": -0.482, "volume_a3_per_atom": 34.3, "lattice_angstrom": [[4.900, 0.000, 0.000], [0.000, 4.900, 0.000], [-2.450, -2.450, 7.149]], "species": ["Pb", "Pb", "Na", "Na", "Ba"], "fractional_positions": [[0.602, 0.602, 0.203], [0.398, 0.398, 0.797], [0.250, 0.750, 0.500], [0.750, 0.250, 0.500], [0.000, 0.000, 0.000]]}

=====

12.
{"formula": "Cu3CF", "functional": "meta-GGA SCAN", "state": "single point on PBEsol structure", "raw_formation_energy_ev_per_atom": 1.25, "volume_a3_per_atom": 12.1, "lattice_angstrom": [[-1.269, 3.700, -0.287], [-2.974, -1.195, -2.260], [-2.220, -0.514, 3.192]], "species": ["C", "Cu", "Cu", "Cu", "F"], "fractional_positions": [[0.500, 0.500, 0.500], [0.000, 0.500, 0.000], [0.000, 0.000, 0.500], [0.500, 0.000, 0.000], [0.000, 0.000, 0.000]]}

=====

13.
{"formula": "SrFeAg2", "functional": "meta-GGA SCAN", "state": "single point on PBEsol structure", "ef_ev_per_atom": 0.339, "volume_a3_per_atom": 20.0, "lattice_angstrom": [[-0.762, 1.107, -3.609], [1.085, -4.180, -1.511], [-4.482, 0.230, 3.071]], "species": ["Fe", "Ag", "Ag", "Sr"], "fractional_positions": [[0.479, 0.479, 0.958], [0.013, 0.013, 0.026], [0.765, 0.265, 0.530], [0.243, 0.743, 0.486]]}

=====

14.
{"formula": "BaIn2Ni", "functional": "meta-GGA SCAN", "state": "single point on PBEsol structure", "ef_ev_per_atom": -0.289, "volume_a3_per_atom": 26.8, "lattice_angstrom": [[4.458, 0.000, 0.000], [2.229, 3.860, 0.000], [2.229, 1.287, 6.218]], "species": ["Ni", "Ba", "In", "In"], "fractional_positions": [[0.500, 0.500, 0.500], [0.000, 0.000, 0.000], [0.204, 0.204, 0.387], [0.796, 0.796, 0.613]]}